[1]
Computed, not measured: crystalline Pr3ScGe2 at its relaxed geometry at the PBE level of DFT.

Structure (extended XYZ):
```
6
Lattice="-1.509 4.035 0.491 -1.221 0.083 -4.428 -6.030 -5.058 3.954" Properties=species:S:1:pos:R:3 pbc="T T T"
Pr -5.487 0.100 1.516
Ge -2.669 1.236 0.760
Pr -1.365 2.059 -1.968
Pr -3.273 -1.041 -1.499
Sc 0.000 0.000 0.000
Ge -6.091 -2.177 -0.743
```

Calculated values
Symmetry: C2/m, No. 12
Formation energy from the elements, eV per atom: -0.615

***

[2]
Computed, not measured: crystalline Pr3Sc2Ge4 at its relaxed geometry at the PBE level of DFT.

Structure (extended XYZ):
```
9
Lattice="-0.969 1.478 3.835 3.363 -5.611 0.688 5.700 7.034 -1.271" Properties=species:S:1:pos:R:3 pbc="T T T"
Sc 5.502 1.490 0.816
Pr 0.000 0.000 0.000
Pr 4.174 4.567 1.619
Sc 2.592 1.410 2.436
Ge 6.955 3.796 0.294
Pr 3.920 -1.667 1.633
Ge 2.886 2.195 -0.117
Ge 1.139 -0.896 2.958
Ge 5.208 0.706 3.369
```

Calculated values
Symmetry: C2/m, No. 12
Formation energy from the elements, eV per atom: -0.756

***

[3]
Computed, not measured: crystalline Pr2Sc3Ge4 at its relaxed geometry at the PBE level of DFT.

Structure (extended XYZ):
```
18
Lattice="6.501 0.000 0.000 0.000 8.073 0.000 -3.250 0.000 7.944" Properties=species:S:1:pos:R:3 pbc="T T T"
Ge 4.876 2.018 0.582
Pr 3.250 7.345 1.749
Ge 3.250 0.431 4.923
Ge 1.625 2.018 0.582
Ge 0.000 7.643 3.022
Ge 3.250 4.467 3.022
Sc 3.250 4.037 0.000
Sc 1.625 6.055 4.652
Pr 3.250 3.309 6.195
Ge -1.625 6.055 7.363
Sc 0.000 0.000 0.000
Sc 1.625 2.018 3.292
Ge 1.625 6.055 7.363
Sc 4.876 2.018 3.292
Ge 0.000 3.606 4.923
Pr 0.000 4.765 1.749
Pr 0.000 0.728 6.195
Sc -1.625 6.055 4.652
```

Calculated values
Symmetry: Cmce, No. 64
Formation energy from the elements, eV per atom: -0.772
Energy relative to the lowest polymorph listed for this composition, meV/atom: 114.6

***

[4]
Computed, not measured: crystalline PrSc2Ge2 at its relaxed geometry at the PBE level of DFT.

Structure (extended XYZ):
```
10
Lattice="4.038 0.000 0.000 0.000 5.035 -0.009 0.000 -1.259 11.610" Properties=species:S:1:pos:R:3 pbc="T T T"
Pr 1.010 3.143 2.815
Sc 3.029 3.154 5.688
Ge 1.010 0.518 11.213
Ge 1.010 3.150 7.652
Sc 1.010 3.101 10.406
Sc 3.029 0.675 1.194
Ge 3.029 3.258 0.387
Sc 1.010 0.622 5.912
Ge 3.029 0.626 3.948
Pr 3.029 0.633 8.786
```

Calculated values
Symmetry: P2_1/m, No. 11
Formation energy from the elements, eV per atom: -0.605

***

[5]
Computed, not measured: crystalline PrSc2Zn2Ge2 at its relaxed geometry at the PBE level of DFT.

Structure (extended XYZ):
```
7
Lattice="-1.109 -2.602 3.259 2.943 -1.151 2.940 -1.557 5.899 7.036" Properties=species:S:1:pos:R:3 pbc="T T T"
Pr 0.000 0.000 0.000
Ge 0.207 1.609 9.927
Sc -0.688 3.032 5.044
Zn -0.461 3.049 7.992
Sc 0.964 -0.887 8.192
Ge 0.069 0.536 3.309
Zn 0.737 -0.904 5.244
```

Calculated values
Symmetry: R-3m, No. 166
Formation energy from the elements, eV per atom: -0.423

***

[6]
Computed, not measured: crystalline PrGeSe2 at its relaxed geometry at the PBE level of DFT.

Structure (extended XYZ):
```
4
Lattice="4.233 0.000 0.000 2.116 3.666 0.000 2.116 1.222 8.714" Properties=species:S:1:pos:R:3 pbc="T T T"
Se 2.116 1.222 6.039
Se 6.349 3.666 2.675
Ge 0.000 0.000 0.000
Pr 4.233 2.444 4.357
```

Calculated values
Energy relative to the elements, uncorrected, eV/atom: -0.8145
Symmetry: R-3m, No. 166

***

no.,N(E_F) (states/eV/cell),total energy (eV/atom)
1,6.15,-5.60
2,5.48,-5.81
3,8.07,-6.00
4,11.89,-5.94
5,6.42,-4.60
6,2.15,-4.91